[1]
## SiTeRh (GGA-PBEsol)

Data for a relaxed SiTeRh crystal.

Summary:
Fermi-level density of states: 2.03 states/eV/f.u.
energy relative to the lowest polymorph listed for this composition: 0.00 eV/f.u.
space-group type: F-43m
theoretical density: 7.559 g/cm³
formation energy (no corrections): 0.25 eV/atom

a = 6.1022 Å, b = 6.1022 Å, c = 6.1022 Å
α = 90.00°, β = 90.00°, γ = 90.00°
Positions (direct):
Si 0.0000 0.0000 0.0000
Si 0.0000 0.5000 0.5000
Si 0.5000 0.0000 0.5000
Si 0.5000 0.5000 0.0000
Te 0.2500 0.2500 0.7500
Te 0.2500 0.7500 0.2500
Te 0.7500 0.2500 0.2500
Te 0.7500 0.7500 0.7500
Rh 0.2500 0.2500 0.2500
Rh 0.2500 0.7500 0.7500
Rh 0.7500 0.2500 0.7500
Rh 0.7500 0.7500 0.2500

---

[2]
## SiTeRh3 (GGA-PBEsol)

Data for a relaxed SiTeRh3 crystal.

Summary:
Fermi-level density of states: 7.18 states/eV/f.u.
space-group type: Pm-3m
theoretical density: 8.935 g/cm³
formation energy (no corrections): 0.20 eV/atom

a = 4.4192 Å, b = 4.4192 Å, c = 4.4192 Å
α = 90.00°, β = 90.00°, γ = 90.00°
Positions (direct):
Si 0.0000 0.0000 0.0000
Te 0.5000 0.5000 0.5000
Rh 0.0000 0.0000 0.5000
Rh 0.0000 0.5000 0.0000
Rh 0.5000 0.0000 0.0000